## K2SnBO5 (PBE-GGA)

Data for an optimized crystal structure of K2SnBO5.

Properties
- final energy (eV per atom) = -5.7582

a = 3.088 Å, b = 7.591 Å, c = 12.133 Å
α = 90.00°, β = 90.00°, γ = 101.74°
Positions (direct):
K1 0.863 0.726 0.839
K2 0.076 0.152 0.648
K3 0.137 0.274 0.339
K4 0.924 0.848 0.148
Sn1 0.813 0.627 0.541
Sn2 0.187 0.373 0.041
B1 0.570 0.140 0.911
B2 0.430 0.860 0.411
O1 0.321 0.642 0.020
O2 0.667 0.335 0.916
O3 0.518 0.035 0.819
O4 0.329 0.659 0.650
O5 0.951 0.902 0.481
O6 0.679 0.358 0.520
O7 0.333 0.665 0.416
O8 0.482 0.965 0.319
O9 0.671 0.341 0.150
O10 0.049 0.098 0.981